[1]
First-principles (PBE) data for a relaxed structure of GaMo2N, as listed in OQMD.

Summary:
total DFT energy (no corrections) = -201.58 eV for the cell shown
total moment = 0.001 μB/atom
density = 8.9 g/cm³

Cell lengths 4.9774, 4.9774, 14.6710 Å; angles 99.73, 99.73, 60.33 degrees
Atoms (fractional coordinates):
1 Ga 0.0831 0.9169 0.7500
2 Ga 0.2471 0.4181 0.2501
3 Ga 0.4181 0.2471 0.7501
4 Ga 0.5819 0.7529 0.2499
5 Ga 0.7529 0.5819 0.7499
6 Ga 0.9169 0.0831 0.2500
7 Mo 0.0346 0.1958 0.5959
8 Mo 0.1362 0.2991 0.9039
9 Mo 0.1958 0.0346 0.0959
10 Mo 0.2991 0.1362 0.4039
11 Mo 0.3669 0.5303 0.5968
12 Mo 0.4697 0.6331 0.9032
13 Mo 0.5303 0.3669 0.0968
14 Mo 0.6331 0.4697 0.4032
15 Mo 0.7009 0.8638 0.5961
16 Mo 0.8042 0.9654 0.9041
17 Mo 0.8638 0.7009 0.0961
18 Mo 0.9654 0.8042 0.4041
19 N 0.0000 0.5000 0.5000
20 N 0.1702 0.6645 0.0000
21 N 0.3355 0.8298 0.5000
22 N 0.5000 0.0000 0.0000
23 N 0.6645 0.1702 0.5000
24 N 0.8298 0.3355 0.0000


[2]
First-principles (PBE) data for a relaxed structure of Nb4Ga3Mo2N3, as listed in OQMD.

Summary:
total DFT energy (no corrections) = -204.43 eV for the cell shown
total moment = 0.001 μB/atom
density = 8.2 g/cm³

Cell lengths 5.1747, 5.1747, 14.4999 Å; angles 100.30, 100.30, 59.91 degrees
Atoms (fractional coordinates):
1 Nb 0.0286 0.2017 0.0952
2 Nb 0.1369 0.3018 0.4047
3 Nb 0.2017 0.0286 0.5952
4 Nb 0.3018 0.1369 0.9047
5 Nb 0.6982 0.8631 0.0953
6 Nb 0.7983 0.9714 0.4048
7 Nb 0.8631 0.6982 0.5953
8 Nb 0.9714 0.7983 0.9048
9 Ga 0.0979 0.9021 0.2500
10 Ga 0.2684 0.4145 0.7498
11 Ga 0.4145 0.2684 0.2498
12 Ga 0.5855 0.7316 0.7502
13 Ga 0.7316 0.5855 0.2502
14 Ga 0.9021 0.0979 0.7500
15 Mo 0.3677 0.5326 0.0948
16 Mo 0.4674 0.6323 0.4052
17 Mo 0.5326 0.3677 0.5948
18 Mo 0.6323 0.4674 0.9052
19 N 0.0000 0.5000 0.0000
20 N 0.1644 0.6676 0.5000
21 N 0.3324 0.8356 0.0000
22 N 0.5000 0.0000 0.5000
23 N 0.6676 0.1644 0.0000
24 N 0.8356 0.3324 0.5000


[3]
First-principles (PBE) data for a relaxed structure of Nb2Ga3Mo4N3, as listed in OQMD.

Summary:
total DFT energy (no corrections) = -203.08 eV for the cell shown
total moment = 0.000 μB/atom
density = 8.5 g/cm³

Cell lengths 5.1466, 5.1466, 14.1517 Å; angles 100.31, 100.31, 60.86 degrees
Atoms (fractional coordinates):
1 Nb 0.0305 0.8645 0.6012
2 Nb 0.1355 0.9695 0.8988
3 Nb 0.8645 0.0305 0.1012
4 Nb 0.9695 0.1355 0.3988
5 Ga 0.0767 0.2949 0.7489
6 Ga 0.2949 0.0767 0.2489
7 Ga 0.4493 0.5507 0.7500
8 Ga 0.5507 0.4493 0.2500
9 Ga 0.7051 0.9233 0.7511
10 Ga 0.9233 0.7051 0.2511
11 Mo 0.2014 0.3697 0.0903
12 Mo 0.3155 0.4585 0.4101
13 Mo 0.3697 0.2014 0.5903
14 Mo 0.4585 0.3155 0.9101
15 Mo 0.5415 0.6845 0.0899
16 Mo 0.6303 0.7986 0.4097
17 Mo 0.6845 0.5415 0.5899
18 Mo 0.7986 0.6303 0.9097
19 N 0.0000 0.5000 0.5000
20 N 0.1551 0.6897 0.9998
21 N 0.3103 0.8449 0.5002
22 N 0.5000 0.0000 0.0000
23 N 0.6897 0.1551 0.4998
24 N 0.8449 0.3103 0.0002


[4]
First-principles (PBE) data for a relaxed structure of GaMo4PN2, as listed in OQMD.

Summary:
total DFT energy (no corrections) = -69.71 eV for the cell shown
total moment = 0.001 μB/atom
density = 8.4 g/cm³

Cell lengths 2.9463, 2.9463, 13.4173 Å; angles 90.00, 90.00, 120.00 degrees
Atoms (fractional coordinates):
1 Ga 0.0000 0.0000 0.0000
2 Mo 0.0000 0.0000 0.3654
3 Mo 0.0000 0.0000 0.6346
4 Mo 0.3333 0.6667 0.1629
5 Mo 0.3333 0.6667 0.8371
6 P 0.3333 0.6667 0.5000
7 N 0.6667 0.3333 0.2605
8 N 0.6667 0.3333 0.7395


[5]
First-principles (PBE) data for a relaxed structure of GaMo4SN2, as listed in OQMD.

Summary:
total DFT energy (no corrections) = -67.93 eV for the cell shown
total moment = 0.006 μB/atom
density = 8.5 g/cm³

Cell lengths 2.9346, 2.9346, 13.5284 Å; angles 90.00, 90.00, 120.00 degrees
Atoms (fractional coordinates):
1 Ga 0.0000 0.0000 0.0000
2 Mo 0.0000 0.0000 0.3657
3 Mo 0.0000 0.0000 0.6343
4 Mo 0.6667 0.3333 0.1617
5 Mo 0.6667 0.3333 0.8383
6 S 0.6667 0.3333 0.5000
7 N 0.3333 0.6667 0.2604
8 N 0.3333 0.6667 0.7396


[6]
First-principles (PBE) data for a relaxed structure of GaSbMo4N2, as listed in OQMD.

Summary:
total DFT energy (no corrections) = -67.33 eV for the cell shown
total moment = 0.001 μB/atom
density = 8.7 g/cm³

Cell lengths 3.2411, 3.2411, 12.5878 Å; angles 90.00, 90.00, 120.00 degrees
Atoms (fractional coordinates):
1 Ga 0.0000 0.0000 0.0000
2 Sb 0.6667 0.3333 0.5000
3 Mo 0.0000 0.0000 0.3222
4 Mo 0.0000 0.0000 0.6778
5 Mo 0.6667 0.3333 0.1612
6 Mo 0.6667 0.3333 0.8388
7 N 0.3333 0.6667 0.2470
8 N 0.3333 0.6667 0.7530